# 1
A plane-wave DFT calculation with PBE was carried out for a relaxed structure of BeCdSbTe2.

Formation energy without anion corrections ... 0.37 eV/atom
E above lowest polymorph ... 0.0 kJ/mol of atoms
Symmetry ... P4/mmm (123)
DOS(E_F) ... 2.8 states/eV/f.u.

Lattice parameters (Å, degrees): 5.289 5.289 4.653 90.00 90.00 90.00
Fractional coordinates of all 5 atoms:
Sb: 0.000 0.000 0.500
Te: 0.000 0.500 0.000
Te: 0.500 0.000 0.000
Be: 0.000 0.000 0.000
Cd: 0.500 0.500 0.500

# 2
A plane-wave DFT calculation with PBE was carried out for a relaxed structure of AcErB12.

ΔH_f (0 K) ... -0.4487 eV per atom
Symmetry ... P4/mmm (123)
DOS(E_F) ... 1.3 states/eV/f.u.

Lattice parameters (Å, degrees): 4.148 4.148 8.288 90.00 90.00 90.00
Fractional coordinates of all 14 atoms:
Ac: 0.000 0.000 0.500
Er: 0.000 0.000 0.000
B: 0.200 0.500 0.245
B: 0.200 0.500 0.755
B: 0.500 0.500 0.398
B: 0.500 0.500 0.902
B: 0.500 0.200 0.245
B: 0.500 0.200 0.755
B: 0.500 0.500 0.098
B: 0.500 0.500 0.602
B: 0.500 0.800 0.245
B: 0.500 0.800 0.755
B: 0.800 0.500 0.245
B: 0.800 0.500 0.755

# 3
A plane-wave DFT calculation with PBE was carried out for a relaxed structure of KNpPbO6.

Formation energy without anion corrections ... -1.76 eV/atom
Symmetry ... P-31c (163)

Lattice parameters (Å, degrees): 5.679 5.679 11.941 90.00 90.00 120.00
Fractional coordinates of all 18 atoms:
K: 0.000 0.000 0.000
K: 0.000 0.000 0.500
Np: 0.667 0.333 0.250
Np: 0.333 0.667 0.750
Pb: 0.333 0.667 0.250
Pb: 0.667 0.333 0.750
O: 0.636 0.613 0.152
O: 0.977 0.364 0.152
O: 0.364 0.977 0.652
O: 0.023 0.636 0.848
O: 0.387 0.364 0.348
O: 0.977 0.613 0.348
O: 0.613 0.977 0.848
O: 0.636 0.023 0.348
O: 0.023 0.387 0.652
O: 0.387 0.023 0.152
O: 0.613 0.636 0.652
O: 0.364 0.387 0.848

# 4
A plane-wave DFT calculation with PBE was carried out for a relaxed structure of Pr3N2F.

Formation energy without anion corrections ... -1.54 eV/atom
Symmetry ... Cmcm (63)
DOS(E_F) ... 3.4 states/eV/f.u.

Lattice parameters (Å, degrees): 3.564 6.611 11.459 90.00 90.00 105.64
Fractional coordinates of all 12 atoms:
Pr: 0.606 0.213 0.087
Pr: 0.114 0.229 0.750
Pr: 0.606 0.213 0.413
Pr: 0.886 0.771 0.250
Pr: 0.394 0.787 0.913
Pr: 0.394 0.787 0.587
N: 0.000 0.000 0.000
N: 0.000 0.000 0.500
N: 0.496 0.992 0.250
N: 0.504 0.008 0.750
F: 0.210 0.420 0.250
F: 0.790 0.580 0.750

# 5
A plane-wave DFT calculation with PBE was carried out for a relaxed structure of Li2ScTiGe.

ΔH_f (0 K) ... 0.9292 eV per atom
Symmetry ... P4/mmm (123)
DOS(E_F) ... 5.3 states/eV/f.u.

Lattice parameters (Å, degrees): 4.729 5.024 4.729 90.00 90.00 90.00
Each line ends with the local moment (μB).
Fractional coordinates of all 5 atoms:
Sc: 0.000 0.500 0.000  0.36
Ge: 0.500 0.500 0.500  -0.09
Li: 0.000 0.000 0.500  0.10
Li: 0.500 0.000 0.000  0.14
Ti: 0.000 0.000 0.000  1.85

# 6
A plane-wave DFT calculation with PBE was carried out for a relaxed structure of Na2SiSbAu6.

Formation energy without anion corrections ... -0.21 eV/atom
Symmetry ... Pmmn (59)
DOS(E_F) ... 2.2 states/eV/f.u.

Lattice parameters (Å, degrees): 5.783 8.983 9.010 90.00 90.00 90.00
Fractional coordinates of all 20 atoms:
Na: 0.500 0.739 0.256
Na: 0.000 0.261 0.756
Na: 0.500 0.739 0.744
Na: 0.000 0.261 0.244
Si: 0.500 0.234 0.500
Si: 0.000 0.766 0.000
Sb: 0.000 0.708 0.500
Sb: 0.500 0.292 0.000
Au: 0.500 0.121 0.250
Au: 0.500 0.121 0.750
Au: 0.000 0.879 0.250
Au: 0.000 0.879 0.750
Au: 0.244 0.008 0.500
Au: 0.756 0.008 0.500
Au: 0.251 0.451 0.500
Au: 0.749 0.451 0.500
Au: 0.751 0.549 0.000
Au: 0.249 0.549 0.000
Au: 0.256 0.992 0.000
Au: 0.744 0.992 0.000

Number 1: calculated density 6.36 g cm⁻³, magnetization 0.000 μB per cell. Number 2: calculated density 6.10 g cm⁻³, magnetization 0.000 μB per cell. Number 3: calculated density 5.77 g cm⁻³, magnetization 0.000 μB per cell. Number 4: calculated density 6.00 g cm⁻³, magnetization 0.000 μB per cell. Number 5: calculated density 2.65 g cm⁻³, magnetization 2.963 μB per cell. Number 6: calculated density 9.77 g cm⁻³, magnetization 0.000 μB per cell.